Compound: ErPu2U
Source: Alexandria via LeMat-Bulk
Functional: PBE
Structure: optimized geometry

Calculated values
- volume (Å³ per atom) = 26.87
- magnetic moment (Bohr magnetons per cell) = 9.27
- formation energy from the elements (eV per atom) = 0.653
- space-group type = R-3m (166)

Unit cell a=9.3786 b=9.3786 c=9.3786 alpha=22.67 beta=22.67 gamma=22.67
Last column: nearest neighbours and their distance in Å.
Fractional positions:
Er  0.0000  0.0000  0.0000  2 Pu 3.11
Pu  0.1135  0.1135  0.1135  3 U 2.58
Pu  0.8865  0.8865  0.8865  3 U 2.58
U  0.5000  0.5000  0.5000  6 Pu 2.58

***

Compound: ErPuV4
Source: Alexandria via LeMat-Bulk
Functional: PBE
Structure: optimized geometry

Calculated values
- volume (Å³ per atom) = 17.50
- magnetic moment (Bohr magnetons per cell) = 3.86
- formation energy from the elements (eV per atom) = 0.317
- space-group type = F-43m (216)

Unit cell a=5.2953 b=5.2953 c=5.2953 alpha=60.00 beta=60.00 gamma=60.00
Last column: nearest neighbours and their distance in Å.
Fractional positions:
Er  0.0000  0.0000  0.0000  12 V 3.11, 4 Pu 3.24
Pu  0.2500  0.2500  0.2500  12 V 3.10, 4 Er 3.24
V  0.1324  0.6225  0.6225  6 V 2.60-2.70
V  0.6225  0.1324  0.6225  6 V 2.60-2.70
V  0.6225  0.6225  0.1324  6 V 2.60-2.70
V  0.6225  0.6225  0.6225  6 V 2.60-2.70